Here is a relaxed structure of Na2MgNpF8 from Alexandria. Energies are from PBE.

Properties
Spin magnetization ... 0.2500 μB per atom
Formation energy from raw total energies ... -3.22 eV/atom

Structure (POSCAR):
```
Na2MgNpF8
1.0
5.083 0.000 0.000
0.000 6.854 0.000
-0.226 0.000 5.203
Na Mg Np F
2 1 1 8
Direct
0.000 0.221 0.000
0.000 0.779 0.000
0.500 0.000 0.500
0.500 0.500 0.500
0.199 0.500 0.200
0.233 0.000 0.232
0.316 0.247 0.678
0.316 0.753 0.678
0.684 0.247 0.322
0.684 0.753 0.322
0.767 0.000 0.768
0.801 0.500 0.800
```

Here is a relaxed structure of NaMgNpF6 from Alexandria. Energies are from PBE.

Properties
Spin magnetization ... 0.4444 μB per atom
Formation energy from raw total energies ... -3.26 eV/atom

Structure (POSCAR):
```
NaMgNpF6
1.0
5.817 0.000 0.000
-2.909 5.038 0.000
0.000 0.000 9.240
Na Mg Np F
2 2 2 12
Direct
0.000 0.000 0.000
0.000 0.000 0.500
0.333 0.667 0.250
0.667 0.333 0.750
0.333 0.667 0.750
0.667 0.333 0.250
0.038 0.374 0.134
0.038 0.664 0.366
0.336 0.374 0.366
0.336 0.962 0.134
0.374 0.038 0.634
0.374 0.336 0.866
0.626 0.664 0.134
0.626 0.962 0.366
0.664 0.038 0.866
0.664 0.626 0.634
0.962 0.336 0.634
0.962 0.626 0.866
```

Here is a relaxed structure of NaMgOF2 from Alexandria. Energies are from PBE.

Properties
Spin magnetization ... 0.2000 μB per atom
Formation energy from raw total energies ... -1.50 eV/atom

Structure (POSCAR):
```
NaMgOF2
1.0
3.982 0.000 0.000
0.000 3.982 0.000
0.000 0.000 4.190
Na Mg O F
1 1 1 2
Direct
0.000 0.000 0.000
0.500 0.500 0.500
0.000 0.000 0.500
0.000 0.500 0.000
0.500 0.000 0.000
```

Here is a relaxed structure of Na2MgPO4F from Alexandria. Energies are from PBE.

Properties
Spin magnetization ... 0.0000 μB per atom
Formation energy from raw total energies ... -2.57 eV/atom

Structure (POSCAR):
```
Na2MgPO4F
1.0
5.277 0.000 0.000
0.000 13.867 0.000
0.000 0.000 11.800
Na Mg P O F
16 8 8 32 8
Direct
0.240 0.247 0.171
0.240 0.753 0.671
0.244 0.377 0.919
0.244 0.623 0.419
0.256 0.123 0.419
0.256 0.877 0.919
0.260 0.253 0.671
0.260 0.747 0.171
0.740 0.253 0.829
0.740 0.747 0.329
0.744 0.123 0.081
0.744 0.877 0.581
0.756 0.377 0.581
0.756 0.623 0.081
0.760 0.247 0.329
0.760 0.753 0.829
0.222 0.487 0.676
0.222 0.513 0.176
0.278 0.013 0.176
0.278 0.987 0.676
0.722 0.013 0.324
0.722 0.987 0.824
0.778 0.487 0.824
0.778 0.513 0.324
0.208 0.118 0.913
0.208 0.882 0.413
0.292 0.382 0.413
0.292 0.618 0.913
0.708 0.382 0.087
0.708 0.618 0.587
0.792 0.118 0.587
0.792 0.882 0.087
0.083 0.101 0.607
0.083 0.899 0.107
0.146 0.463 0.348
0.146 0.537 0.848
0.211 0.283 0.369
0.211 0.717 0.869
0.234 0.391 0.541
0.234 0.609 0.041
0.266 0.109 0.041
0.266 0.891 0.541
0.289 0.217 0.869
0.289 0.783 0.369
0.354 0.037 0.848
0.354 0.963 0.348
0.417 0.399 0.107
0.417 0.601 0.607
0.583 0.399 0.393
0.583 0.601 0.893
0.646 0.037 0.652
0.646 0.963 0.152
0.711 0.217 0.631
0.711 0.783 0.131
0.734 0.109 0.459
0.734 0.891 0.959
0.766 0.391 0.959
0.766 0.609 0.459
0.789 0.283 0.131
0.789 0.717 0.631
0.854 0.463 0.152
0.854 0.537 0.652
0.917 0.101 0.893
0.917 0.899 0.393
0.000 0.088 0.250
0.000 0.377 0.750
0.000 0.623 0.250
0.000 0.912 0.750
0.500 0.123 0.250
0.500 0.412 0.750
0.500 0.588 0.250
0.500 0.877 0.750
```